No. 1
DFT (PBE) results for a geometry-optimized Dy4ZnCd structure.

a = 4.9894 Å, b = 4.9900 Å, c = 7.2717 Å
α = 89.98°, β = 89.99°, γ = 90.00°
Closest atoms and distances in Å follow each position.
Fractional coordinates of all 6 atoms:
Dy 0.0012 0.4971 0.2606  2 Zn 3.03-3.04, 2 Cd 3.14
Dy 0.5012 0.9971 0.2605  2 Zn 3.03, 2 Cd 3.14
Dy 0.5014 0.9975 0.7358  2 Zn 3.03-3.04, 2 Cd 3.14
Dy 0.0014 0.4974 0.7358  2 Zn 3.03-3.04, 2 Cd 3.14
Zn 0.0013 0.9973 0.4981  8 Dy 3.03-3.04
Cd 0.5013 0.4973 0.9981  8 Dy 3.14

Computed properties:
ρ   7.59 g cm⁻³
N(E_F)   8.4 states/eV/f.u.
Final energy   -3.371 eV per atom
Formation enthalpy at 0 K   0.06 eV per atom

***

No. 2
DFT (PBE) results for a geometry-optimized Dy2ZnCd structure.

a = 5.1819 Å, b = 5.1819 Å, c = 5.1819 Å
α = 60.00°, β = 60.00°, γ = 60.00°
Closest atoms and distances in Å follow each position.
Fractional coordinates of all 4 atoms:
Zn 0.0000 0.0000 0.0000  8 Dy 3.17
Dy 0.2500 0.2500 0.2500  4 Cd 3.17, 4 Zn 3.17
Dy 0.7500 0.7500 0.7500  4 Zn 3.17, 4 Cd 3.17
Cd 0.5000 0.5000 0.5000  8 Dy 3.17

Computed properties:
ρ   8.49 g cm⁻³
N(E_F)   3.8 states/eV/f.u.
Final energy   -3.162 eV per atom
Formation enthalpy at 0 K   -0.31 eV per atom

***

No. 3
DFT (PBE) results for a geometry-optimized DyZrCd4 structure.

a = 5.7944 Å, b = 5.7944 Å, c = 5.7944 Å
α = 60.00°, β = 60.00°, γ = 60.00°
Closest atoms and distances in Å follow each position.
Fractional coordinates of all 6 atoms:
Cd 0.6253 0.6253 0.1240  6 Cd 2.89-2.91
Cd 0.6253 0.6253 0.6253  6 Cd 2.89-2.91
Cd 0.1240 0.6253 0.6253  6 Cd 2.89-2.91
Cd 0.6253 0.1240 0.6253  6 Cd 2.89-2.91
Dy 0.2500 0.2500 0.2500  12 Cd 3.40, 4 Zr 3.55
Zr 0.0000 0.0000 0.0000  12 Cd 3.40, 4 Dy 3.55

Computed properties:
ρ   8.49 g cm⁻³
N(E_F)   5.6 states/eV/f.u.
Final energy   -2.915 eV per atom
Formation enthalpy at 0 K   -0.11 eV per atom

***

No. 4
DFT (PBE) results for a geometry-optimized DyZr2Cd2 structure.

a = 4.1895 Å, b = 4.1895 Å, c = 7.7241 Å
α = 105.74°, β = 105.74°, γ = 90.00°
Closest atoms and distances in Å follow each position.
Fractional coordinates of all 5 atoms:
Cd 0.5970 0.5970 0.1940  1 Cd 2.77, 4 Zr 3.03
Cd 0.4030 0.4030 0.8060  1 Cd 2.77, 4 Zr 3.03
Zr 0.2500 0.7500 0.5000  4 Zr 2.96, 4 Cd 3.03
Zr 0.7500 0.2500 0.5000  4 Zr 2.96, 4 Cd 3.03
Dy 0.0000 0.0000 0.0000  8 Cd 3.27

Computed properties:
ρ   7.56 g cm⁻³
N(E_F)   8.0 states/eV/f.u.
Final energy   -4.643 eV per atom
Formation enthalpy at 0 K   0.06 eV per atom